*a*
A plane-wave DFT calculation with PBE was carried out for FeIr2Au2 after structural relaxation.

Structure (extended XYZ):
```
5
Lattice="3.5688 0.0000 0.0000 0.0000 3.5688 0.0000 1.7844 1.7844 7.0322" Properties=species:S:1:pos:R:3 pbc="T T T"
Ir 3.5688 1.7844 3.5161
Ir 1.7844 3.5688 3.5161
Au 1.7844 1.7844 1.3343
Au 3.5688 3.5688 5.6979
Fe 0.0000 0.0000 0.0000
```

Output
Density of states at the Fermi level ... 6.3 states/eV per cell


*b*
A plane-wave DFT calculation with PBE was carried out for FeIr2Au2 after structural relaxation.

Structure (extended XYZ):
```
5
Lattice="3.6788 0.0000 0.0000 0.0000 3.6788 0.0000 1.8394 1.8394 6.5172" Properties=species:S:1:pos:R:3 pbc="T T T"
Ir 1.8394 1.8394 1.1875
Ir 3.6788 3.6788 5.3297
Au 3.6788 1.8394 3.2586
Au 1.8394 3.6788 3.2586
Fe 0.0000 0.0000 0.0000
```

Output
Density of states at the Fermi level ... 12.7 states/eV per cell


Unit: eV/atom. Relative energies: *a* 0.000; *b* 0.369.


*a*
A plane-wave DFT calculation with PBE was carried out for FeIrAu3 after structural relaxation.

Structure (extended XYZ):
```
5
Lattice="5.0183 0.0000 0.0000 0.0000 5.0183 0.0000 0.0000 0.0000 5.0183" Properties=species:S:1:pos:R:3 pbc="T T T"
Ir 0.0000 0.0000 0.0000
Au 0.0000 2.5091 0.0000
Au 0.0000 0.0000 2.5091
Au 2.5091 0.0000 0.0000
Fe 2.5091 2.5091 2.5091
```

Output
Density of states at the Fermi level ... 17.0 states/eV per cell


*b*
A plane-wave DFT calculation with PBE was carried out for FeIrAu3 after structural relaxation.

Structure (extended XYZ):
```
5
Lattice="-3.4262 1.1117 2.9203 -2.4239 -3.6805 -1.4427 1.9720 -2.5924 3.3005" Properties=species:S:1:pos:R:3 pbc="T T T"
Ir -1.9390 -2.5806 2.3891
Au -1.2119 -1.8403 -0.7213
Au 0.9860 -1.2962 1.6503
Au -1.7131 0.5559 1.4602
Fe 0.0000 0.0000 0.0000
```

Output
Density of states at the Fermi level ... 15.9 states/eV per cell


Unit: eV/atom. Relative energies: *a* 0.000; *b* 0.208.


*a*
A plane-wave DFT calculation with PBE was carried out for K2FeAu after structural relaxation.

Structure (extended XYZ):
```
8
Lattice="12.0765 0.0000 0.0000 0.0000 12.0765 0.0000 6.0383 6.0383 2.4904" Properties=species:S:1:pos:R:3 pbc="T T T"
K 11.1042 3.0191 0.6226
K 13.0488 9.0574 0.6226
K 9.0574 7.0105 1.8678
K 15.0957 5.0660 1.8678
Au 0.0000 0.0000 0.0000
Au 12.0765 6.0383 1.2452
Fe 6.0383 6.0383 0.0000
Fe 6.0383 12.0765 1.2452
```

Output
Density of states at the Fermi level ... 11.9 states/eV per cell


*b*
A plane-wave DFT calculation with PBE was carried out for K2FeAu after structural relaxation.

Structure (extended XYZ):
```
4
Lattice="3.6464 0.0000 0.0000 0.0000 3.6464 0.0000 0.0000 0.0000 10.0420" Properties=species:S:1:pos:R:3 pbc="T T T"
Au 0.0000 0.0000 5.9930
Fe 1.8232 1.8232 6.5060
K 0.0000 0.0000 9.2219
K 1.8232 1.8232 3.3841
```

Output
Density of states at the Fermi level ... 4.7 states/eV per cell


*c*
A plane-wave DFT calculation with PBE was carried out for K2FeAu after structural relaxation.

Structure (extended XYZ):
```
4
Lattice="5.4027 0.0620 -0.0137 -2.1668 4.9495 -0.0137 0.0118 0.0183 4.3644" Properties=species:S:1:pos:R:3 pbc="T T T"
Au 2.7073 0.0402 2.1753
Fe -1.0775 2.4839 2.1753
K 0.0000 0.0000 0.0000
K 1.6180 2.5058 -0.0137
```

Output
Density of states at the Fermi level ... 2.6 states/eV per cell


*d*
A plane-wave DFT calculation with PBE was carried out for K2FeAu after structural relaxation.

Structure (extended XYZ):
```
4
Lattice="-1.5867 1.6891 4.8295 2.4784 -1.7735 4.4053 3.1144 3.3088 2.8367" Properties=species:S:1:pos:R:3 pbc="T T T"
Au 2.0030 1.6122 6.0358
Fe 3.0046 2.4183 9.0536
K 0.0000 0.0000 0.0000
K 1.0015 0.8061 3.0179
```

Output
Density of states at the Fermi level ... 1.8 states/eV per cell


Unit: eV/atom. Relative energies: *a* 0.159; *b* 0.000; *c* 0.280; *d* 0.247.


*a*
A plane-wave DFT calculation with PBE was carried out for K2FeAu after structural relaxation.

Structure (extended XYZ):
```
4
Lattice="3.8517 0.0000 0.0000 0.0000 3.8486 0.0000 0.0000 0.0000 8.6838" Properties=species:S:1:pos:R:3 pbc="T T T"
Au 1.9259 1.9243 2.1709
Fe 1.9259 1.9243 6.5128
K 0.0000 0.0000 0.1759
K 0.0000 0.0000 4.1660
```

Output
Density of states at the Fermi level ... 2.4 states/eV per cell


*b*
A plane-wave DFT calculation with PBE was carried out for K2FeAu after structural relaxation.

Structure (extended XYZ):
```
4
Lattice="4.5705 0.0000 0.0000 0.0000 5.0959 0.0019 0.0000 2.5447 5.9853" Properties=species:S:1:pos:R:3 pbc="T T T"
Au 0.0000 4.7712 3.1576
Fe 2.2852 4.7792 4.2615
K 0.0000 7.3234 5.5236
K 2.2852 2.2276 2.0253
```

Output
Density of states at the Fermi level ... 4.0 states/eV per cell


Unit: eV/atom. Relative energies: *a* 0.196; *b* 0.000.


*a*
A plane-wave DFT calculation with PBE was carried out for KFe3Au after structural relaxation.

Structure (extended XYZ):
```
5
Lattice="4.4288 0.0000 0.0000 0.0000 4.4288 0.0000 0.0000 0.0000 4.4288" Properties=species:S:1:pos:R:3 pbc="T T T"
K 0.0000 0.0000 0.0000
Au 2.2144 2.2144 2.2144
Fe 0.0000 2.2144 0.0000
Fe 0.0000 0.0000 2.2144
Fe 2.2144 0.0000 0.0000
```

Output
Density of states at the Fermi level ... 5.0 states/eV per cell


*b*
A plane-wave DFT calculation with PBE was carried out for KFe3Au after structural relaxation.

Structure (extended XYZ):
```
5
Lattice="4.9536 0.0000 0.0000 0.0000 4.9536 0.0000 0.0000 0.0000 4.9536" Properties=species:S:1:pos:R:3 pbc="T T T"
K 2.4768 2.4768 2.4768
Au 0.0000 0.0000 0.0000
Fe 0.0000 2.4768 0.0000
Fe 0.0000 0.0000 2.4768
Fe 2.4768 0.0000 0.0000
```

Output
Density of states at the Fermi level ... 7.8 states/eV per cell


Unit: eV/atom. Relative energies: *a* 1.147; *b* 0.000.


*a*
A plane-wave DFT calculation with PBE was carried out for LaFe3Au after structural relaxation.

Structure (extended XYZ):
```
5
Lattice="4.5735 0.0000 0.0000 0.0000 4.5735 0.0000 0.0000 0.0000 4.5735" Properties=species:S:1:pos:R:3 pbc="T T T"
Au 2.2867 2.2867 2.2867
Fe 0.0000 2.2867 0.0000
Fe 0.0000 0.0000 2.2867
Fe 2.2867 0.0000 0.0000
La 0.0000 0.0000 0.0000
```

Output
Density of states at the Fermi level ... 6.1 states/eV per cell


*b*
A plane-wave DFT calculation with PBE was carried out for LaFe3Au after structural relaxation.

Structure (extended XYZ):
```
5
Lattice="-2.8188 -2.4967 3.0362 3.4041 0.3180 3.4218 -1.9658 4.1307 1.5717" Properties=species:S:1:pos:R:3 pbc="T T T"
Au 0.0000 0.0000 0.0000
Fe 1.7020 0.1590 1.7109
Fe -0.9829 2.0654 0.7859
Fe -1.4094 -1.2483 1.5181
La -0.6902 0.9760 4.0148
```

Output
Density of states at the Fermi level ... 8.4 states/eV per cell


Unit: eV/atom. Relative energies: *a* 0.819; *b* 0.000.


*a*
A plane-wave DFT calculation with PBE was carried out for La3FeAu after structural relaxation.

Structure (extended XYZ):
```
5
Lattice="5.2167 0.0000 0.0000 0.0000 5.2167 0.0000 0.0000 0.0000 5.2167" Properties=species:S:1:pos:R:3 pbc="T T T"
Au 2.6083 2.6083 2.6083
Fe 0.0000 0.0000 0.0000
La 0.0000 2.6083 0.0000
La 0.0000 0.0000 2.6083
La 2.6083 0.0000 0.0000
```

Output
Density of states at the Fermi level ... 7.1 states/eV per cell


*b*
A plane-wave DFT calculation with PBE was carried out for La3FeAu after structural relaxation.

Structure (extended XYZ):
```
10
Lattice="-0.4665 0.2438 3.9002 -7.6061 -2.5567 -2.7355 2.8794 -8.1193 0.8535" Properties=species:S:1:pos:R:3 pbc="T T T"
La -5.5137 -5.1576 1.7138
La 0.7062 -5.5570 2.4840
La -3.4928 -7.9144 0.1435
La -0.1532 -0.1947 0.0604
La -3.6753 -1.0607 1.6775
La -1.9911 -4.2924 0.0970
Fe -2.0854 -6.4737 2.2077
Fe -0.7005 -6.9982 0.4210
Au -0.3216 -2.4816 2.1685
Au -5.3453 -2.8707 -0.3942
```

Output
Density of states at the Fermi level ... 11.4 states/eV per cell


Unit: eV/atom. Relative energies: *a* 0.115; *b* 0.000.


*a*
A plane-wave DFT calculation with PBE was carried out for La2Fe2Au after structural relaxation.

Structure (extended XYZ):
```
10
Lattice="-2.5107 -3.0612 -6.0472 6.6788 -0.0190 -2.7633 0.6641 -3.7667 1.6310" Properties=species:S:1:pos:R:3 pbc="T T T"
Au 0.0000 0.0000 0.0000
Au 2.0841 -1.5401 -4.4053
Fe 4.9638 -1.2099 -4.8152
Fe 1.8422 -2.7352 -7.0667
Fe -0.7956 -1.8703 -3.9953
Fe 2.3259 -0.3450 -1.7439
La 4.4378 -2.4591 -2.1860
La 4.0660 -3.9923 -5.5751
La 0.3945 -4.3878 -4.9935
La 0.7662 -2.8546 -1.6043
```

Output
Density of states at the Fermi level ... 7.4 states/eV per cell


*b*
A plane-wave DFT calculation with PBE was carried out for La2Fe2Au after structural relaxation.

Structure (extended XYZ):
```
5
Lattice="-1.7764 1.7764 8.9649 1.7764 -1.7764 8.9649 1.7764 1.7764 -8.9649" Properties=species:S:1:pos:R:3 pbc="T T T"
La 0.0000 0.0000 11.0269
La 0.0000 0.0000 6.9029
Fe 1.7764 0.0000 4.4825
Fe 0.0000 1.7764 4.4825
Au 0.0000 0.0000 0.0000
```

Output
Density of states at the Fermi level ... 5.2 states/eV per cell


Unit: eV/atom. Relative energies: *a* 0.000; *b* 0.045.